This record from Alexandria via LeMat-Bulk describes a relaxed structure of Sr6ZnNi. The functional is PBE-GGA.

```
data_Sr6ZnNi
_symmetry_space_group_name_H-M 'P 1'
_symmetry_Int_Tables_number 1
_cell_length_a 4.296
_cell_length_b 9.144
_cell_length_c 9.144
_cell_angle_alpha 101.41
_cell_angle_beta 90.00
_cell_angle_gamma 90.00
loop_
_symmetry_equiv_pos_as_xyz
'x,y,z'
loop_
_atom_site_label
_atom_site_type_symbol
_atom_site_fract_x
_atom_site_fract_y
_atom_site_fract_z
_atom_site_occupancy
Sr1 Sr 0.000 0.202 0.451 1
Zn1 Zn 0.000 0.197 0.803 1
Sr2 Sr 0.000 0.635 0.365 1
Sr3 Sr 0.500 0.882 0.117 1
Sr4 Sr 0.500 0.319 0.062 1
Sr5 Sr 0.000 0.549 0.798 1
Sr6 Sr 0.500 0.938 0.681 1
Ni1 Ni 0.500 0.277 0.723 1
```

Summary:
Formation energy, kJ per mole of atoms: -2.9
Calculated density, g/cm³: 3.06
Space-group type: Amm2, No. 38

This record from Alexandria via LeMat-Bulk describes a relaxed structure of ZrSc5Au4. The functional is PBE-GGA.

```
data_ZrSc5Au4
_symmetry_space_group_name_H-M 'P 1'
_symmetry_Int_Tables_number 1
_cell_length_a 3.369
_cell_length_b 3.369
_cell_length_c 18.072
_cell_angle_alpha 90.00
_cell_angle_beta 90.00
_cell_angle_gamma 90.00
loop_
_symmetry_equiv_pos_as_xyz
'x,y,z'
loop_
_atom_site_label
_atom_site_type_symbol
_atom_site_fract_x
_atom_site_fract_y
_atom_site_fract_z
_atom_site_occupancy
Au1 Au 0.000 0.000 0.405 1
Sc1 Sc 0.500 0.500 0.691 1
Sc2 Sc 0.500 0.500 0.882 1
Sc3 Sc 0.500 0.500 0.118 1
Au2 Au 0.000 0.000 0.595 1
Zr1 Zr 0.000 0.000 0.000 1
Au3 Au 0.000 0.000 0.213 1
Sc4 Sc 0.500 0.500 0.309 1
Sc5 Sc 0.500 0.500 0.500 1
Au4 Au 0.000 0.000 0.787 1
```

Summary:
Formation energy, kJ per mole of atoms: -62.1
Calculated density, g/cm³: 8.94
Space-group type: P4/mmm, No. 123

This record from Alexandria via LeMat-Bulk describes a relaxed structure of PRhW. The functional is PBE-GGA.

```
data_PRhW
_symmetry_space_group_name_H-M 'P 1'
_symmetry_Int_Tables_number 1
_cell_length_a 4.182
_cell_length_b 4.182
_cell_length_c 2.853
_cell_angle_alpha 90.00
_cell_angle_beta 90.00
_cell_angle_gamma 120.00
loop_
_symmetry_equiv_pos_as_xyz
'x,y,z'
loop_
_atom_site_label
_atom_site_type_symbol
_atom_site_fract_x
_atom_site_fract_y
_atom_site_fract_z
_atom_site_occupancy
P1 P 0.000 0.000 0.919 1
Rh1 Rh 0.667 0.333 0.282 1
W1 W 0.333 0.667 0.799 1
```

Summary:
Formation energy, kJ per mole of atoms: -11.6
Calculated density, g/cm³: 12.21
Space-group type: P3m1, No. 156

This record from Alexandria via LeMat-Bulk describes a relaxed structure of La2ThTe2N2. The functional is PBE-GGA.

```
data_La2ThTe2N2
_symmetry_space_group_name_H-M 'P 1'
_symmetry_Int_Tables_number 1
_cell_length_a 4.629
_cell_length_b 4.629
_cell_length_c 8.977
_cell_angle_alpha 104.94
_cell_angle_beta 104.94
_cell_angle_gamma 90.00
loop_
_symmetry_equiv_pos_as_xyz
'x,y,z'
loop_
_atom_site_label
_atom_site_type_symbol
_atom_site_fract_x
_atom_site_fract_y
_atom_site_fract_z
_atom_site_occupancy
N1 N 0.500 0.000 0.000 1
N2 N 0.000 0.500 0.000 1
La1 La 0.609 0.609 0.217 1
La2 La 0.391 0.391 0.783 1
Te1 Te 0.812 0.812 0.624 1
Te2 Te 0.188 0.188 0.376 1
Th1 Th 0.000 0.000 0.000 1
```

Summary:
Calculated density, g/cm³: 7.35
Raw total energy, eV per atom: -7.161
Space-group type: I4/mmm, No. 139

This record from Alexandria via LeMat-Bulk describes a relaxed structure of NdZn3Au4. The functional is PBE-GGA.

```
data_NdZn3Au4
_symmetry_space_group_name_H-M 'P 1'
_symmetry_Int_Tables_number 1
_cell_length_a 4.672
_cell_length_b 4.672
_cell_length_c 7.486
_cell_angle_alpha 90.00
_cell_angle_beta 90.00
_cell_angle_gamma 87.81
loop_
_symmetry_equiv_pos_as_xyz
'x,y,z'
loop_
_atom_site_label
_atom_site_type_symbol
_atom_site_fract_x
_atom_site_fract_y
_atom_site_fract_z
_atom_site_occupancy
Au1 Au 0.500 0.000 0.807 1
Zn1 Zn 0.500 0.500 0.663 1
Au2 Au 0.500 0.000 0.193 1
Zn2 Zn 0.000 0.000 0.000 1
Au3 Au 0.000 0.500 0.807 1
Zn3 Zn 0.500 0.500 0.337 1
Nd1 Nd 0.000 0.000 0.500 1
Au4 Au 0.000 0.500 0.193 1
```

Summary:
Formation energy, kJ per mole of atoms: -33.8
Calculated density, g/cm³: 11.48
Space-group type: Cmmm, No. 65

This record from Alexandria via LeMat-Bulk describes a relaxed structure of CuNi5Sb. The functional is PBE-GGA.

```
data_CuNi5Sb
_symmetry_space_group_name_H-M 'P 1'
_symmetry_Int_Tables_number 1
_cell_length_a 4.161
_cell_length_b 4.161
_cell_length_c 5.324
_cell_angle_alpha 90.00
_cell_angle_beta 90.00
_cell_angle_gamma 90.00
loop_
_symmetry_equiv_pos_as_xyz
'x,y,z'
loop_
_atom_site_label
_atom_site_type_symbol
_atom_site_fract_x
_atom_site_fract_y
_atom_site_fract_z
_atom_site_occupancy
Ni1 Ni 0.000 0.500 0.232 1
Ni2 Ni 0.000 0.500 0.768 1
Ni3 Ni 0.500 0.000 0.768 1
Ni4 Ni 0.500 0.500 0.500 1
Cu1 Cu 0.500 0.500 0.000 1
Sb1 Sb 0.000 0.000 0.500 1
Ni5 Ni 0.500 0.000 0.232 1
```

Summary:
Calculated density, g/cm³: 8.62
Raw total energy, eV per atom: -5.210
Space-group type: P4/mmm, No. 123

This record from Alexandria via LeMat-Bulk describes a relaxed structure of LiGeP2. The functional is PBE-GGA.

```
data_LiGeP2
_symmetry_space_group_name_H-M 'P 1'
_symmetry_Int_Tables_number 1
_cell_length_a 5.844
_cell_length_b 5.844
_cell_length_c 6.448
_cell_angle_alpha 63.05
_cell_angle_beta 63.05
_cell_angle_gamma 90.00
loop_
_symmetry_equiv_pos_as_xyz
'x,y,z'
loop_
_atom_site_label
_atom_site_type_symbol
_atom_site_fract_x
_atom_site_fract_y
_atom_site_fract_z
_atom_site_occupancy
Li1 Li 0.500 0.500 0.000 1
Li2 Li 0.250 0.750 0.500 1
P1 P 0.875 0.894 0.750 1
Ge1 Ge 0.750 0.250 0.500 1
Ge2 Ge 0.000 0.000 0.000 1
P2 P 0.375 0.356 0.750 1
P3 P 0.106 0.625 0.250 1
P4 P 0.644 0.125 0.250 1
```

Summary:
Formation energy, kJ per mole of atoms: -3.1
Calculated density, g/cm³: 2.78
Space-group type: I-42d, No. 122

This record from Alexandria via LeMat-Bulk describes a relaxed structure of Rb4Mn. The functional is PBE-GGA.

```
data_Rb4Mn
_symmetry_space_group_name_H-M 'P 1'
_symmetry_Int_Tables_number 1
_cell_length_a 7.394
_cell_length_b 7.394
_cell_length_c 7.394
_cell_angle_alpha 90.00
_cell_angle_beta 90.00
_cell_angle_gamma 90.00
loop_
_symmetry_equiv_pos_as_xyz
'x,y,z'
loop_
_atom_site_label
_atom_site_type_symbol
_atom_site_fract_x
_atom_site_fract_y
_atom_site_fract_z
_atom_site_occupancy
Rb1 Rb 0.500 0.500 0.000 1
Rb2 Rb 0.000 0.500 0.500 1
Mn1 Mn 0.500 0.500 0.500 1
Rb3 Rb 0.500 0.000 0.500 1
Rb4 Rb 0.000 0.000 0.000 1
```

Summary:
Formation energy, kJ per mole of atoms: 54.9
Calculated density, g/cm³: 1.63
Space-group type: Pm-3m, No. 221